Density functional theory data (PBE-GGA) for an optimized crystal structure of NaPmHoCd.

Structure (CIF):
```
data_NaPmHoCd
_chemical_formula_sum 'Na4 Pm4 Ho4 Cd4'
_cell_length_a 7.7014
_cell_length_b 7.7014
_cell_length_c 7.7014
_cell_angle_alpha 90.00
_cell_angle_beta 90.00
_cell_angle_gamma 90.00
_symmetry_space_group_name_H-M 'P 1'
_symmetry_Int_Tables_number 1
_symmetry_space_group_name_Hall 'P 1'
loop_
_atom_site_label
_atom_site_type_symbol
_atom_site_fract_x
_atom_site_fract_y
_atom_site_fract_z
Na1 Na 0.0000 0.0000 0.0000
Na2 Na 0.0000 0.5000 0.5000
Na3 Na 0.5000 0.0000 0.5000
Na4 Na 0.5000 0.5000 0.0000
Pm1 Pm 0.2500 0.2500 0.2500
Pm2 Pm 0.2500 0.7500 0.7500
Pm3 Pm 0.7500 0.2500 0.7500
Pm4 Pm 0.7500 0.7500 0.2500
Ho1 Ho 0.2500 0.2500 0.7500
Ho2 Ho 0.2500 0.7500 0.2500
Ho3 Ho 0.7500 0.2500 0.2500
Ho4 Ho 0.7500 0.7500 0.7500
Cd1 Cd 0.0000 0.0000 0.5000
Cd2 Cd 0.0000 0.5000 0.0000
Cd3 Cd 0.5000 0.0000 0.0000
Cd4 Cd 0.5000 0.5000 0.5000
```

Computed properties:
space group = F-43m, No. 216
calculated formation energy = 0.032 eV/atom



Density functional theory data (PBE-GGA) for an optimized crystal structure of NaHoCdSn.

Structure (CIF):
```
data_NaHoCdSn
_chemical_formula_sum 'Na4 Ho4 Cd4 Sn4'
_cell_length_a 7.4238
_cell_length_b 7.4238
_cell_length_c 7.4238
_cell_angle_alpha 90.00
_cell_angle_beta 90.00
_cell_angle_gamma 90.00
_symmetry_space_group_name_H-M 'P 1'
_symmetry_Int_Tables_number 1
_symmetry_space_group_name_Hall 'P 1'
loop_
_atom_site_label
_atom_site_type_symbol
_atom_site_fract_x
_atom_site_fract_y
_atom_site_fract_z
Na1 Na 0.0000 0.0000 0.0000
Na2 Na 0.0000 0.5000 0.5000
Na3 Na 0.5000 0.0000 0.5000
Na4 Na 0.5000 0.5000 0.0000
Ho1 Ho 0.0000 0.0000 0.5000
Ho2 Ho 0.0000 0.5000 0.0000
Ho3 Ho 0.5000 0.0000 0.0000
Ho4 Ho 0.5000 0.5000 0.5000
Cd1 Cd 0.2500 0.2500 0.2500
Cd2 Cd 0.2500 0.7500 0.7500
Cd3 Cd 0.7500 0.2500 0.7500
Cd4 Cd 0.7500 0.7500 0.2500
Sn1 Sn 0.2500 0.2500 0.7500
Sn2 Sn 0.2500 0.7500 0.2500
Sn3 Sn 0.7500 0.2500 0.2500
Sn4 Sn 0.7500 0.7500 0.7500
```

Computed properties:
space group = F-43m, No. 216
calculated formation energy = -0.336 eV/atom



Density functional theory data (PBE-GGA) for an optimized crystal structure of NaSrHoCd.

Structure (CIF):
```
data_NaSrHoCd
_chemical_formula_sum 'Na4 Sr4 Ho4 Cd4'
_cell_length_a 7.9696
_cell_length_b 7.9696
_cell_length_c 7.9696
_cell_angle_alpha 90.00
_cell_angle_beta 90.00
_cell_angle_gamma 90.00
_symmetry_space_group_name_H-M 'P 1'
_symmetry_Int_Tables_number 1
_symmetry_space_group_name_Hall 'P 1'
loop_
_atom_site_label
_atom_site_type_symbol
_atom_site_fract_x
_atom_site_fract_y
_atom_site_fract_z
Na1 Na 0.0000 0.0000 0.0000
Na2 Na 0.0000 0.5000 0.5000
Na3 Na 0.5000 0.0000 0.5000
Na4 Na 0.5000 0.5000 0.0000
Sr1 Sr 0.2500 0.2500 0.2500
Sr2 Sr 0.2500 0.7500 0.7500
Sr3 Sr 0.7500 0.2500 0.7500
Sr4 Sr 0.7500 0.7500 0.2500
Ho1 Ho 0.2500 0.2500 0.7500
Ho2 Ho 0.2500 0.7500 0.2500
Ho3 Ho 0.7500 0.2500 0.2500
Ho4 Ho 0.7500 0.7500 0.7500
Cd1 Cd 0.0000 0.0000 0.5000
Cd2 Cd 0.0000 0.5000 0.0000
Cd3 Cd 0.5000 0.0000 0.0000
Cd4 Cd 0.5000 0.5000 0.5000
```

Computed properties:
space group = F-43m, No. 216
calculated formation energy = 0.030 eV/atom



Density functional theory data (PBE-GGA) for an optimized crystal structure of NaHoZnCd.

Structure (CIF):
```
data_NaHoZnCd
_chemical_formula_sum 'Na4 Ho4 Zn4 Cd4'
_cell_length_a 7.1989
_cell_length_b 7.1989
_cell_length_c 7.1989
_cell_angle_alpha 90.00
_cell_angle_beta 90.00
_cell_angle_gamma 90.00
_symmetry_space_group_name_H-M 'P 1'
_symmetry_Int_Tables_number 1
_symmetry_space_group_name_Hall 'P 1'
loop_
_atom_site_label
_atom_site_type_symbol
_atom_site_fract_x
_atom_site_fract_y
_atom_site_fract_z
Na1 Na 0.0000 0.0000 0.0000
Na2 Na 0.0000 0.5000 0.5000
Na3 Na 0.5000 0.0000 0.5000
Na4 Na 0.5000 0.5000 0.0000
Ho1 Ho 0.0000 0.0000 0.5000
Ho2 Ho 0.0000 0.5000 0.0000
Ho3 Ho 0.5000 0.0000 0.0000
Ho4 Ho 0.5000 0.5000 0.5000
Zn1 Zn 0.2500 0.2500 0.2500
Zn2 Zn 0.2500 0.7500 0.7500
Zn3 Zn 0.7500 0.2500 0.7500
Zn4 Zn 0.7500 0.7500 0.2500
Cd1 Cd 0.2500 0.2500 0.7500
Cd2 Cd 0.2500 0.7500 0.2500
Cd3 Cd 0.7500 0.2500 0.2500
Cd4 Cd 0.7500 0.7500 0.7500
```

Computed properties:
space group = F-43m, No. 216
calculated formation energy = -0.083 eV/atom



Density functional theory data (PBE-GGA) for an optimized crystal structure of Ho2NbCd.

Structure (CIF):
```
data_Ho2NbCd
_chemical_formula_sum 'Ho6 Nb3 Cd3'
_cell_length_a 3.1754
_cell_length_b 3.1754
_cell_length_c 34.4975
_cell_angle_alpha 90.00
_cell_angle_beta 90.00
_cell_angle_gamma 120.00
_symmetry_space_group_name_H-M 'P 1'
_symmetry_Int_Tables_number 1
_symmetry_space_group_name_Hall 'P 1'
loop_
_atom_site_label
_atom_site_type_symbol
_atom_site_fract_x
_atom_site_fract_y
_atom_site_fract_z
Ho1 Ho 0.0000 0.0000 0.0855
Ho2 Ho 0.0000 0.0000 0.9145
Ho3 Ho 0.3333 0.6667 0.5812
Ho4 Ho 0.3333 0.6667 0.7522
Ho5 Ho 0.6667 0.3333 0.2478
Ho6 Ho 0.6667 0.3333 0.4188
Nb1 Nb 0.0000 0.0000 0.0000
Nb2 Nb 0.3333 0.6667 0.6667
Nb3 Nb 0.6667 0.3333 0.3333
Cd1 Cd 0.0000 0.0000 0.5000
Cd2 Cd 0.3333 0.6667 0.1667
Cd3 Cd 0.6667 0.3333 0.8333
```

Computed properties:
space group = R-3m, No. 166
calculated formation energy = 0.458 eV/atom



Density functional theory data (PBE-GGA) for an optimized crystal structure of Ho2NbCd.

Structure (CIF):
```
data_Ho2NbCd
_chemical_formula_sum 'Ho2 Nb1 Cd1'
_cell_length_a 3.3358
_cell_length_b 3.3358
_cell_length_c 8.8452
_cell_angle_alpha 90.00
_cell_angle_beta 90.00
_cell_angle_gamma 90.00
_symmetry_space_group_name_H-M 'P 1'
_symmetry_Int_Tables_number 1
_symmetry_space_group_name_Hall 'P 1'
loop_
_atom_site_label
_atom_site_type_symbol
_atom_site_fract_x
_atom_site_fract_y
_atom_site_fract_z
Ho1 Ho 0.0000 0.0000 0.2397
Ho2 Ho 0.0000 0.0000 0.7603
Nb1 Nb 0.5000 0.5000 0.0000
Cd1 Cd 0.5000 0.5000 0.5000
```

Computed properties:
space group = P4/mmm, No. 123
calculated formation energy = 0.017 eV/atom



Density functional theory data (PBE-GGA) for an optimized crystal structure of Nd3Ho2Cd4.

Structure (CIF):
```
data_Nd3Ho2Cd4
_chemical_formula_sum 'Nd6 Ho4 Cd8'
_cell_length_a 10.3988
_cell_length_b 10.3988
_cell_length_c 8.1186
_cell_angle_alpha 90.00
_cell_angle_beta 90.00
_cell_angle_gamma 142.59
_symmetry_space_group_name_H-M 'P 1'
_symmetry_Int_Tables_number 1
_symmetry_space_group_name_Hall 'P 1'
loop_
_atom_site_label
_atom_site_type_symbol
_atom_site_fract_x
_atom_site_fract_y
_atom_site_fract_z
Nd1 Nd 0.0000 0.0000 0.0000
Nd2 Nd 0.0041 0.4959 0.2500
Nd3 Nd 0.4959 0.0041 0.7500
Nd4 Nd 0.5000 0.5000 0.5000
Nd5 Nd 0.5041 0.9959 0.2500
Nd6 Nd 0.9959 0.5041 0.7500
Ho1 Ho 0.0886 0.9114 0.3999
Ho2 Ho 0.4114 0.5886 0.8999
Ho3 Ho 0.5886 0.4114 0.1001
Ho4 Ho 0.9114 0.0886 0.6001
Cd1 Cd 0.1550 0.8450 0.0219
Cd2 Cd 0.1705 0.3295 0.2500
Cd3 Cd 0.3295 0.1705 0.7500
Cd4 Cd 0.3450 0.6550 0.5219
Cd5 Cd 0.6550 0.3450 0.4781
Cd6 Cd 0.6705 0.8295 0.2500
Cd7 Cd 0.8295 0.6705 0.7500
Cd8 Cd 0.8450 0.1550 0.9781
```

Computed properties:
space group = Cmce, No. 64
calculated formation energy = -0.111 eV/atom



Density functional theory data (PBE-GGA) for an optimized crystal structure of NdHo3Cd.

Structure (CIF):
```
data_NdHo3Cd
_chemical_formula_sum 'Nd2 Ho6 Cd2'
_cell_length_a 6.7096
_cell_length_b 6.7096
_cell_length_c 8.1160
_cell_angle_alpha 107.10
_cell_angle_beta 107.10
_cell_angle_gamma 65.09
_symmetry_space_group_name_H-M 'P 1'
_symmetry_Int_Tables_number 1
_symmetry_space_group_name_Hall 'P 1'
loop_
_atom_site_label
_atom_site_type_symbol
_atom_site_fract_x
_atom_site_fract_y
_atom_site_fract_z
Nd1 Nd 0.0580 0.0580 0.2354
Nd2 Nd 0.9420 0.9420 0.7647
Ho1 Ho 0.0922 0.5906 0.3658
Ho2 Ho 0.4094 0.9078 0.6342
Ho3 Ho 0.4390 0.4390 0.7578
Ho4 Ho 0.5610 0.5610 0.2422
Ho5 Ho 0.5906 0.0922 0.3658
Ho6 Ho 0.9078 0.4094 0.6342
Cd1 Cd 0.2594 0.2594 0.9998
Cd2 Cd 0.7406 0.7406 0.0002
```

Computed properties:
space group = C2/m, No. 12
calculated formation energy = -0.034 eV/atom



no.,final energy (eV/atom),theoretical density (g/cm³)
1,-2.86,6.5
2,-3.04,6.8
3,-2.09,5.1
4,-2.10,6.5
5,-4.58,8.9
6,-5.02,9.0
7,-3.12,7.5
8,-3.92,8.0